The following is a DFT calculation (PBE-GGA) of KCaCu after structural relaxation.

Cell: 4.1893 4.1893 7.5945 Å, 90.00 90.00 120.00°
Closest atoms and distances in Å follow each position.
Positions (direct):
Cu 0.6667 0.3333 0.3041  3 Ca 2.90
K 0.3333 0.6667 0.6019  3 Cu 3.31
Ca 0.0000 0.0000 0.0940  3 Cu 2.90

Properties
- Total moment: 0.00 μB per cell
- DFT total energy: -2.159 eV per atom
- Volume: 38.5 Å³ per atom